No. 1
Compound: Nd2AgHg8
Source: the Alexandria database
Functional: PBE-GGA
Structure: optimized geometry

```
data_Nd2AgHg8
_cell_length_a 17.552
_cell_length_b 4.895
_cell_length_c 6.965
_cell_angle_alpha 90.00
_cell_angle_beta 111.81
_cell_angle_gamma 90.00
_symmetry_space_group_name_H-M 'C 1 2/m 1'
_symmetry_Int_Tables_number 12
loop_
_symmetry_equiv_pos_as_xyz
'x,y,z'
'-x,-y,-z'
'-x,y,-z'
'x,-y,z'
'x+1/2,y+1/2,z'
'-x+1/2,-y+1/2,-z'
'-x+1/2,y+1/2,-z'
'x+1/2,-y+1/2,z'
loop_
_atom_site_label
_atom_site_fract_x
_atom_site_fract_y
_atom_site_fract_z
_atom_site_occupancy
Nd1 0.210 0.000 0.204 1
Ag1 0.000 0.500 0.500 1
Hg1 0.006 0.000 0.223 1
Hg2 0.120 0.500 0.909 1
Hg3 0.132 0.500 0.358 1
Hg4 0.160 0.000 0.669 1
```

Summary:
E_form ... -239 kJ/mol of formula units
E_tot ... -1.57 eV/atom
Distance to the lowest polymorph of the same formula ... 0.38 eV/f.u.
Size of the total moment ... 0.0 μB per formula unit

=====

No. 2
Compound: LiCd4SnPd2
Source: the Alexandria database
Functional: PBE-GGA
Structure: optimized geometry

```
data_LiCd4SnPd2
_cell_length_a 4.132
_cell_length_b 4.132
_cell_length_c 10.092
_cell_angle_alpha 90.00
_cell_angle_beta 90.00
_cell_angle_gamma 90.00
_symmetry_space_group_name_H-M 'P 4/m m m'
_symmetry_Int_Tables_number 123
_symmetry_space_group_name_Hall '-P 4 2'
loop_
_atom_site_label
_atom_site_fract_x
_atom_site_fract_y
_atom_site_fract_z
_atom_site_occupancy
Li1 0.000 0.000 0.000 1
Cd1 0.000 0.500 0.187 1
Sn1 0.000 0.000 0.500 1
Pd1 0.500 0.500 0.371 1
```

Summary:
E_form ... -49 kJ/mol of formula units
E_tot ... -2.56 eV/atom
Size of the total moment ... 0.0 μB per formula unit

=====

Number 2 is which compound?
LiCd4SnPd2

=====

Look up the size of the total moment of the second one.
0.0 μB per formula unit

=====

Look up the size of the total moment of the second one.
0.0 μB per formula unit

=====

Number 2 is which compound?
LiCd4SnPd2